Entry 1:
Computed, not measured: a geometry-optimized Lu2BePd structure at the PBE level of DFT.

For the calculated volume, the calculation gives 17.9 Å³ per atom. The calculation puts the calculated density at 10.77 g/cm³. For the total energy, the calculation gives -4.64 eV/atom.

```
Lu2BePd
1.0
-0.404 -3.985 -2.390
-4.159 -1.320 -1.647
-0.832 0.107 -4.588
Lu Be Pd
2 1 1
Direct
0.000 0.000 0.000 Lu
0.750 0.750 0.750 Lu
0.500 0.500 0.500 Be
0.250 0.250 0.250 Pd
```

***

Entry 2:
Computed, not measured: a geometry-optimized LuBePd structure at the PBE level of DFT.

For the calculated volume, the calculation gives 20.7 Å³ per atom. The offset from the most stable computed form comes out at 0.553 eV/atom. The calculation puts the calculated density at 7.76 g/cm³.

```
LuBePd
1.0
0.000 3.144 3.144
3.144 0.000 3.144
3.144 3.144 0.000
Pd Be Lu
1 1 1
Direct
0.750 0.750 0.750 Pd
0.250 0.250 0.250 Be
0.000 0.000 0.000 Lu
```

***

Entry 3:
Computed, not measured: a geometry-optimized LuScBePd structure at the PBE level of DFT.

For the calculated volume, the calculation gives 18.4 Å³ per atom. The offset from the most stable computed form comes out at 0.000 eV/atom. The calculation puts the calculated density at 7.58 g/cm³.

```
LuScBePd
1.0
0.000 3.325 3.325
3.325 0.000 3.325
3.325 3.325 0.000
Be Sc Lu Pd
1 1 1 1
Direct
0.750 0.750 0.750 Be
0.000 0.000 0.000 Sc
0.500 0.500 0.500 Lu
0.250 0.250 0.250 Pd
```

***

Entry 4:
Computed, not measured: a geometry-optimized LuScBePd structure at the PBE level of DFT.

For the calculated volume, the calculation gives 17.0 Å³ per atom. The offset from the most stable computed form comes out at 0.174 eV/atom. The calculation puts the calculated density at 8.18 g/cm³.

```
LuScBePd
1.0
0.000 3.241 3.241
3.241 0.000 3.241
3.241 3.241 0.000
Sc Pd Be Lu
1 1 1 1
Direct
0.000 0.000 0.000 Sc
0.500 0.500 0.500 Pd
0.750 0.750 0.750 Be
0.250 0.250 0.250 Lu
```

***

Entry 5:
Computed, not measured: a geometry-optimized LuBeTlPd structure at the PBE level of DFT.

For the calculated volume, the calculation gives 18.6 Å³ per atom. The offset from the most stable computed form comes out at 0.054 eV/atom. The calculation puts the calculated density at 11.06 g/cm³.

```
LuBeTlPd
1.0
-0.392 0.378 4.687
0.431 4.218 2.071
-3.781 2.098 1.889
Pd Lu Tl Be
1 1 1 1
Direct
0.000 0.000 0.000 Pd
0.250 0.250 0.250 Lu
0.500 0.500 0.500 Tl
0.750 0.750 0.750 Be
```

***

Entry 6:
Computed, not measured: a geometry-optimized LuBeTlPd structure at the PBE level of DFT.

For the calculated volume, the calculation gives 18.2 Å³ per atom. The offset from the most stable computed form comes out at 0.000 eV/atom. The calculation puts the calculated density at 11.30 g/cm³.

```
LuBeTlPd
1.0
0.000 3.313 3.313
3.313 0.000 3.313
3.313 3.313 0.000
Pd Lu Tl Be
1 1 1 1
Direct
0.250 0.250 0.250 Pd
0.000 0.000 0.000 Lu
0.500 0.500 0.500 Tl
0.750 0.750 0.750 Be
```

***

Entry 7:
Computed, not measured: a geometry-optimized LuBeTlPd structure at the PBE level of DFT.

For the calculated volume, the calculation gives 18.2 Å³ per atom. The offset from the most stable computed form comes out at 0.084 eV/atom. The calculation puts the calculated density at 11.27 g/cm³.

```
LuBeTlPd
1.0
0.000 3.316 3.316
3.316 0.000 3.316
3.316 3.316 0.000
Tl Pd Be Lu
1 1 1 1
Direct
0.250 0.250 0.250 Tl
0.000 0.000 0.000 Pd
0.750 0.750 0.750 Be
0.500 0.500 0.500 Lu
```

***

Entry 8:
Computed, not measured: a geometry-optimized PrLuBe structure at the PBE level of DFT.

For the calculated volume, the calculation gives 26.9 Å³ per atom. The calculation puts the calculated density at 6.67 g/cm³. For the total energy, the calculation gives -3.39 eV/atom.

```
PrLuBe
1.0
0.000 3.432 3.432
3.432 0.000 3.432
3.432 3.432 0.000
Be Pr Lu
1 1 1
Direct
0.250 0.250 0.250 Be
0.000 0.000 0.000 Pr
0.750 0.750 0.750 Lu
```

***

Entry 9:
Computed, not measured: a geometry-optimized LuBePt structure at the PBE level of DFT.

For the calculated volume, the calculation gives 20.9 Å³ per atom. The offset from the most stable computed form comes out at 0.611 eV/atom. The calculation puts the calculated density at 10.02 g/cm³.

```
LuBePt
1.0
0.000 3.155 3.155
3.155 0.000 3.155
3.155 3.155 0.000
Be Lu Pt
1 1 1
Direct
0.250 0.250 0.250 Be
0.000 0.000 0.000 Lu
0.750 0.750 0.750 Pt
```

***

Entry 10:
Computed, not measured: a geometry-optimized Lu2BePt structure at the PBE level of DFT.

For the calculated volume, the calculation gives 17.8 Å³ per atom. The calculation puts the calculated density at 12.91 g/cm³. For the total energy, the calculation gives -5.09 eV/atom.

```
Lu2BePt
1.0
-2.689 2.484 2.873
-2.267 3.741 -1.587
-4.628 -0.109 -0.469
Lu Pt Be
2 1 1
Direct
0.750 0.750 0.750 Lu
0.000 0.000 0.000 Lu
0.250 0.250 0.250 Pt
0.500 0.500 0.500 Be
```

***

Entry 11:
Computed, not measured: a geometry-optimized LuBePt structure at the PBE level of DFT.

For the calculated volume, the calculation gives 20.0 Å³ per atom. The offset from the most stable computed form comes out at 0.000 eV/atom. The calculation puts the calculated density at 10.49 g/cm³.

```
LuBePt
1.0
0.000 3.107 3.107
3.107 0.000 3.107
3.107 3.107 0.000
Lu Be Pt
1 1 1
Direct
0.750 0.750 0.750 Lu
0.250 0.250 0.250 Be
0.000 0.000 0.000 Pt
```

***

Entry 12:
Computed, not measured: a geometry-optimized LuBe2Pt structure at the PBE level of DFT.

For the calculated volume, the calculation gives 15.1 Å³ per atom. The calculation puts the calculated density at 10.66 g/cm³. For the total energy, the calculation gives -4.78 eV/atom.

```
LuBe2Pt
1.0
0.000 3.115 3.115
3.115 0.000 3.115
3.115 3.115 0.000
Lu Pt Be
1 1 2
Direct
0.500 0.500 0.500 Lu
0.750 0.750 0.750 Pt
0.000 0.000 0.000 Be
0.250 0.250 0.250 Be
```